1.
# Ni5Sn12Au3

A geometry-optimized Ni5Sn12Au3 structure (PBE, Alexandria).

Lattice parameters (Å, degrees): 13.509 13.509 13.509 109.47 109.47 109.47
Fractional positions:
Au 0.125 0.250 0.875
Ni 0.500 0.500 0.500
Sn 0.881 0.597 0.923
Sn 0.826 0.923 0.042
Ni 0.500 0.000 0.000
Sn 0.716 0.119 0.042
Sn 0.174 0.077 0.958
Sn 0.423 0.042 0.326
Sn 0.716 0.597 0.174
Sn 0.458 0.674 0.077
Ni 0.000 0.500 0.000
Sn 0.923 0.097 0.881
Sn 0.403 0.119 0.577
Au 0.750 0.875 0.625
Sn 0.674 0.216 0.597
Ni 0.125 0.375 0.250
Sn 0.119 0.716 0.542
Sn 0.216 0.542 0.619
Ni 0.750 0.125 0.875
Sn 0.903 0.826 0.784
Ni 0.125 0.750 0.375
Sn 0.458 0.784 0.881
Au 0.625 0.250 0.375
Sn 0.042 0.423 0.826
Au 0.625 0.375 0.750
Ni 0.000 0.500 0.500
Ni 0.625 0.750 0.875
Au 0.375 0.625 0.250
Au 0.875 0.125 0.250
Sn 0.216 0.674 0.097
Au 0.125 0.875 0.750
Au 0.250 0.625 0.875
Sn 0.577 0.619 0.403
Sn 0.326 0.784 0.403
Ni 0.750 0.625 0.375
Sn 0.597 0.881 0.423
Sn 0.284 0.881 0.958
Sn 0.077 0.174 0.458
Sn 0.542 0.326 0.923
Sn 0.923 0.826 0.542
Sn 0.119 0.403 0.077
Ni 0.875 0.625 0.750
Sn 0.903 0.077 0.619
Ni 0.000 0.000 0.000
Ni 0.250 0.875 0.125
Ni 0.500 0.500 0.000
Sn 0.284 0.403 0.826
Ni 0.375 0.250 0.125
Sn 0.423 0.381 0.597
Sn 0.826 0.903 0.284
Sn 0.958 0.577 0.174
Sn 0.619 0.577 0.903
Au 0.750 0.375 0.125
Sn 0.597 0.716 0.674
Sn 0.577 0.958 0.674
Sn 0.097 0.923 0.381
Au 0.875 0.750 0.125
Sn 0.381 0.958 0.784
Sn 0.958 0.381 0.284
Ni 0.250 0.375 0.625
Sn 0.381 0.423 0.097
Sn 0.881 0.284 0.458
Au 0.250 0.125 0.375
Sn 0.674 0.458 0.577
Ni 0.875 0.250 0.625
Au 0.375 0.750 0.625
Sn 0.077 0.903 0.119
Sn 0.784 0.458 0.381
Sn 0.542 0.216 0.119
Sn 0.619 0.042 0.216
Sn 0.097 0.174 0.216
Ni 0.500 0.000 0.500
Sn 0.174 0.097 0.716
Ni 0.375 0.125 0.750
Ni 0.625 0.875 0.250
Sn 0.326 0.542 0.423
Sn 0.784 0.326 0.903
Sn 0.403 0.284 0.326
Sn 0.042 0.619 0.716
Ni 0.000 0.000 0.500

Values from the calculation:
The value obtained for the density is 8.080 g/cm3. The calculation puts the energy relative to the elements at 0.0 eV/f.u. The space-group type is No. 230.

2.
# Ni2SnAu

A geometry-optimized Ni2SnAu structure (PBE, Alexandria).

Lattice parameters (Å, degrees): 3.840 3.840 8.188 90.00 90.00 90.00
Fractional positions:
Sn 0.500 0.000 0.250
Au 0.500 0.500 0.000
Ni 0.000 0.500 0.250
Au 0.000 0.000 0.500
Ni 0.500 0.500 0.500
Ni 0.500 0.000 0.750
Sn 0.000 0.500 0.750
Ni 0.000 0.000 0.000

Values from the calculation:
The value obtained for the density is 11.912 g/cm3. The calculation puts the energy relative to the elements at -0.1 eV/f.u. The space-group type is No. 119.

3.
# NiSnAu2

A geometry-optimized NiSnAu2 structure (PBE, Alexandria).

Lattice parameters (Å, degrees): 5.997 5.997 7.206 65.41 65.41 90.00
Each line ends with the local moment (μB).
Fractional positions:
Sn 0.750 0.250 0.500  0.00
Ni 0.250 0.750 0.500  0.27
Sn 0.000 0.000 0.000  0.00
Au 0.875 0.838 0.750  0.01
Ni 0.500 0.500 0.000  0.27
Au 0.588 0.125 0.250  0.01
Au 0.162 0.625 0.250  0.01
Au 0.375 0.412 0.750  0.01

Values from the calculation:
The value obtained for the density is 9.055 g/cm3. The calculation puts the energy relative to the elements at 1.9 eV/f.u. The space-group type is No. 122.

4.
# Ni2Sn2Au

A geometry-optimized Ni2Sn2Au structure (PBE, Alexandria).

Lattice parameters (Å, degrees): 7.034 7.034 3.434 90.00 90.00 90.00
Fractional positions:
Au 0.500 0.500 0.000
Ni 0.869 0.631 0.000
Au 0.000 0.000 0.000
Sn 0.334 0.166 0.500
Sn 0.166 0.666 0.500
Sn 0.834 0.334 0.500
Sn 0.666 0.834 0.500
Ni 0.131 0.369 0.000
Ni 0.369 0.869 0.000
Ni 0.631 0.131 0.000

Values from the calculation:
The value obtained for the density is 10.784 g/cm3. The calculation puts the energy relative to the elements at -0.6 eV/f.u. The space-group type is No. 127. The energy above the most stable polymorph in this dataset is 0.00 eV/f.u.